1.
An optimized crystal structure of Sm5Ag4Hg, computed with PBE.

Cell: 3.714 3.714 18.617 Å, 90.00 90.00 90.00°
Space group P4/mmm (No. 123)
One atom of each set of equivalent atoms:
1 Sm 0.000 0.000 0.000
2 Sm 0.000 0.000 0.199
3 Sm 0.000 0.000 0.397
4 Ag 0.500 0.500 0.099
5 Ag 0.500 0.500 0.297
6 Hg 0.500 0.500 0.500

## Properties
Calculated volume = 25.68 Å³/atom
DFT total energy = -0.14139 Ha/atom
Formation energy = -0.33 eV/atom


2.
An optimized crystal structure of SmAgHg, computed with PBE.

Cell: 7.027 7.027 7.027 Å, 90.00 90.00 90.00°
Space group F-43m (No. 216)
One atom of each set of equivalent atoms:
1 Sm 0.000 0.000 0.000
2 Ag 0.250 0.250 0.750
3 Hg 0.250 0.250 0.250

## Properties
Calculated volume = 28.91 Å³/atom
DFT total energy = -0.09618 Ha/atom
Formation energy = -0.01 eV/atom


3.
An optimized crystal structure of Sm2AgHg3, computed with PBE.

Cell: 6.864 9.950 17.232 Å, 90.00 90.00 90.00°
Space group Fmmm (No. 69)
One atom of each set of equivalent atoms:
1 Sm 0.249 0.000 0.000
2 Sm 0.250 0.250 0.250
3 Ag 0.000 0.000 0.167
4 Hg 0.000 0.000 0.331
5 Hg 0.000 0.246 0.085

## Properties
Calculated volume = 24.52 Å³/atom
DFT total energy = -0.09547 Ha/atom
Formation energy = -0.41 eV/atom